No. 1
A relaxed structure of Cs2K5TlAu2, computed with PBE-GGA.

As for the electronic total energy: -1.731 eV/atom. For the energy of formation, the calculation gives -1.2 eV per formula unit. The density of states at the Fermi level is 6.21 states/eV/f.u.

It has space group P4/mbm (No. 127), with a = 14.0236 Å, b = 14.0236 Å, c = 4.9573 Å, α = 90.00°, β = 90.00° and γ = 90.00°. The asymmetric unit holds Cs at (0.1758, 0.3242, 0.0000), K at (0.0000, 0.5000, 0.5000), K at (0.0657, 0.7935, 0.5000), Tl at (0.0000, 0.0000, 0.0000) and Au at (0.1191, 0.6191, 0.0000).

=====

No. 2
A relaxed structure of AlW2Cl, computed with PBE-GGA.

As for the electronic total energy: -7.176 eV/atom. The density of states at the Fermi level is 2.82 states/eV/f.u. The value obtained for the formation energy (no corrections) is 0.698 eV per atom.

It has space group P4/mmm (No. 123), with a = 2.7677 Å, b = 2.7677 Å, c = 8.3953 Å, α = 90.00°, β = 90.00° and γ = 90.00°. The asymmetric unit holds Al at (0.0000, 0.0000, 0.0000), W at (0.5000, 0.5000, 0.2381) and Cl at (0.0000, 0.0000, 0.5000).

=====

No. 3
A relaxed structure of Be2Ru2Pb, computed with PBE-GGA.

As for the electronic total energy: -5.871 eV/atom. For the energy of formation, the calculation gives 0.4 eV per formula unit. The density of states at the Fermi level is 1.66 states/eV/f.u.

It has space group P4/mbm (No. 127), with a = 6.5461 Å, b = 6.5461 Å, c = 3.0648 Å, α = 90.00°, β = 90.00° and γ = 90.00°. The asymmetric unit holds Be at (0.1162, 0.3838, 0.0000), Ru at (0.1637, 0.6637, 0.5000) and Pb at (0.0000, 0.0000, 0.0000).

=====

No. 4
A relaxed structure of Sr4Dy3AgS8, computed with PBE-GGA.

As for the electronic total energy: -5.388 eV/atom. The density of states at the Fermi level is 4.29 states/eV/f.u. The value obtained for the formation energy (no corrections) is -1.863 eV per atom.

It has space group R-3m (No. 166, hexagonal axes), with a = 8.1561 Å, b = 8.1561 Å, c = 20.1368 Å, α = 90.00°, β = 90.00° and γ = 120.00°. The asymmetric unit holds Sr at (0.0000, 0.0000, 0.0000), Sr at (0.0000, 0.5000, 0.0000), Dy at (0.0000, 0.5000, 0.5000), Ag at (0.0000, 0.0000, 0.5000), S at (0.0000, 0.0000, 0.2428) and S at (0.0077, 0.5038, 0.7569).